(1)
VCd2F6 after structural relaxation. Source: the Alexandria database, functional GGA+U.

Cell: 5.104 5.104 10.444 Å, 90.00 90.00 90.00°
Space group P4_2/mnm (No. 136)
Symmetry-distinct sites (fractional):
V: 0.000 0.000 0.000 x2
Cd: 0.000 0.000 0.334 x4
F: 0.188 0.188 0.158 x8
F: 0.205 0.205 0.500 x4

Properties
V ... 272.0 Å³ per cell
E_tot ... -4.630 eV/atom

(2)
VCd3F after structural relaxation. Source: the Alexandria database, functional GGA+U.

Cell: 5.547 5.547 5.547 Å, 90.00 90.00 90.00°
Space group Pm-3m (No. 221)
Symmetry-distinct sites (fractional):
V: 0.000 0.000 0.000 x1
Cd: 0.000 0.000 0.500 x3
F: 0.500 0.500 0.500 x1

Properties
V ... 170.7 Å³ per cell
E_tot ... -1.987 eV/atom

(3)
VCd4F10 after structural relaxation. Source: the Alexandria database, functional GGA+U.

Cell: 3.8149 3.8149 48.1207 Å, 90.00 90.00 120.00°
Space group R-3m (No. 166, hexagonal axes)
Symmetry-distinct sites (fractional):
V: 0.0000 0.0000 0.0000 x3
Cd: 0.0000 0.0000 0.2005 x6
Cd: 0.0000 0.0000 0.3981 x6
F: 0.0000 0.0000 0.0432 x6
F: 0.0000 0.0000 0.1496 x6
F: 0.0000 0.0000 0.2541 x6
F: 0.0000 0.0000 0.3450 x6
F: 0.0000 0.0000 0.4475 x6

Properties
V ... 606.5 Å³ per cell
E_tot ... -4.232 eV/atom

(4)
VCd3F after structural relaxation. Source: the Alexandria database, functional GGA+U.

Cell: 4.776 4.776 4.776 Å, 90.00 90.00 90.00°
Space group Pm-3m (No. 221)
Symmetry-distinct sites (fractional):
V: 0.000 0.000 0.000 x1
Cd: 0.000 0.500 0.500 x3
F: 0.500 0.500 0.500 x1

Properties
V ... 109.0 Å³ per cell
E_tot ... -2.336 eV/atom

(5)
V2CdF11 after structural relaxation. Source: the Alexandria database, functional GGA+U.

Cell: 10.389 8.425 9.451 Å, 90.00 90.00 90.00°
Space group Ima2 (No. 46)
Symmetry-distinct sites (fractional):
V: 0.250 0.172 0.000 x4
V: 0.250 0.696 0.230 x4
Cd: 0.000 0.000 0.449 x4
F: 0.114 0.584 0.140 x8
F: 0.119 0.080 0.085 x8
F: 0.126 0.695 0.838 x8
F: 0.132 0.209 0.394 x8
F: 0.250 0.005 0.864 x4
F: 0.250 0.180 0.630 x4
F: 0.250 0.675 0.585 x4

Properties
V ... 827.2 Å³ per cell
E_tot ... -5.032 eV/atom

(6)
V3CdF after structural relaxation. Source: the Alexandria database, functional GGA+U.

Cell: 4.507 4.507 4.507 Å, 90.00 90.00 90.00°
Space group Pm-3m (No. 221)
Symmetry-distinct sites (fractional):
V: 0.000 0.000 0.500 x3
Cd: 0.500 0.500 0.500 x1
F: 0.000 0.000 0.000 x1

Properties
V ... 91.6 Å³ per cell
E_tot ... -4.649 eV/atom

(7)
V3CdF after structural relaxation. Source: the Alexandria database, functional GGA+U.

Cell: 5.291 5.291 5.291 Å, 90.00 90.00 90.00°
Space group Pm-3m (No. 221)
Symmetry-distinct sites (fractional):
V: 0.000 0.000 0.500 x3
Cd: 0.000 0.000 0.000 x1
F: 0.500 0.500 0.500 x1

Properties
V ... 148.1 Å³ per cell
E_tot ... -3.573 eV/atom

(8)
V2CdF8 after structural relaxation. Source: the Alexandria database, functional GGA+U.

Cell: 6.7539 6.7539 4.0667 Å, 90.00 90.00 120.00°
Space group P-3m1 (No. 164)
Symmetry-distinct sites (fractional):
V: 0.3333 0.6667 0.2626 x2
Cd: 0.0000 0.0000 0.0000 x1
F: 0.1725 0.3450 0.2550 x6
F: 0.3333 0.6667 0.7587 x2

Properties
V ... 160.7 Å³ per cell
E_tot ... -5.357 eV/atom

(9)
VZn2CdF after structural relaxation. Source: the Alexandria database, functional GGA+U.

Cell: 4.712 4.712 4.127 Å, 90.00 90.00 90.00°
Space group P4/mmm (No. 123)
Symmetry-distinct sites (fractional):
V: 0.000 0.000 0.000 x1
Zn: 0.000 0.500 0.500 x2
Cd: 0.500 0.500 0.000 x1
F: 0.000 0.000 0.500 x1

Properties
V ... 91.6 Å³ per cell
E_tot ... -2.719 eV/atom

(10)
VZnCdF6 after structural relaxation. Source: the Alexandria database, functional GGA+U.

Cell: 5.4475 5.4475 9.6053 Å, 90.00 90.00 120.00°
Space group P-31c (No. 163)
Symmetry-distinct sites (fractional):
V: 0.3333 0.6667 0.2500 x2
Zn: 0.3333 0.6667 0.7500 x2
Cd: 0.0000 0.0000 0.0000 x2
F: 0.0073 0.3501 0.6351 x12

Properties
V ... 246.9 Å³ per cell
E_tot ... -4.700 eV/atom

(11)
CdW2F after structural relaxation. Source: the Alexandria database, functional GGA+U.

Cell: 6.402 6.402 6.402 Å, 90.00 90.00 90.00°
Space group Fm-3m (No. 225)
Symmetry-distinct sites (fractional):
Cd: 0.000 0.000 0.000 x4
W: 0.250 0.250 0.250 x8
F: 0.000 0.000 0.500 x4

Properties
V ... 262.4 Å³ per cell
E_tot ... -3.014 eV/atom

(12)
Cd3WF after structural relaxation. Source: the Alexandria database, functional GGA+U.

Cell: 5.657 5.657 5.657 Å, 90.00 90.00 90.00°
Space group Pm-3m (No. 221)
Symmetry-distinct sites (fractional):
Cd: 0.000 0.000 0.500 x3
W: 0.000 0.000 0.000 x1
F: 0.500 0.500 0.500 x1

Properties
V ... 181.0 Å³ per cell
E_tot ... -1.847 eV/atom

(13)
CdW2F after structural relaxation. Source: the Alexandria database, functional GGA+U.

Cell: 3.796 3.796 21.233 Å, 90.00 90.00 90.00°
Space group I-42d (No. 122)
Symmetry-distinct sites (fractional):
Cd: 0.000 0.000 0.000 x4
W: 0.241 0.250 0.125 x8
F: 0.000 0.000 0.500 x4

Properties
V ... 305.9 Å³ per cell
E_tot ... -3.486 eV/atom

(14)
Cd3WF after structural relaxation. Source: the Alexandria database, functional GGA+U.

Cell: 4.756 4.756 4.756 Å, 90.00 90.00 90.00°
Space group Pm-3m (No. 221)
Symmetry-distinct sites (fractional):
Cd: 0.000 0.000 0.500 x3
W: 0.500 0.500 0.500 x1
F: 0.000 0.000 0.000 x1

Properties
V ... 107.5 Å³ per cell
E_tot ... -2.194 eV/atom